# 1
Below is a relaxed SmMg4Au2 crystal, with properties calculated at the GGA-PBE level.

Cell lengths 8.366, 8.366, 4.397 Å; angles 90.00, 90.00, 90.00 degrees
Sites, in units of the cell vectors:
Sm1 0.000 0.000 0.000
Sm2 0.500 0.500 0.500
Mg1 0.088 0.336 0.500
Mg2 0.164 0.588 0.000
Mg3 0.336 0.088 0.500
Mg4 0.412 0.836 0.000
Mg5 0.588 0.164 0.000
Mg6 0.664 0.912 0.500
Mg7 0.836 0.412 0.000
Mg8 0.912 0.664 0.500
Au1 0.215 0.785 0.500
Au2 0.285 0.285 0.000
Au3 0.715 0.715 0.000
Au4 0.785 0.215 0.500

Space group: P4_2/mnm, No. 136
Crystal system: tetragonal
Total moment: 0.0 μB/f.u.
Formation energy from the elements: -0.502 eV/atom

# 2
Below is a relaxed SmMg6Au12 crystal, with properties calculated at the GGA-PBE level.

Cell lengths 7.698, 7.698, 7.698 Å; angles 106.35, 106.35, 106.35 degrees
Sites, in units of the cell vectors:
Sm1 0.000 0.000 0.000
Mg1 0.289 0.289 0.700
Mg2 0.289 0.700 0.289
Mg3 0.300 0.711 0.711
Mg4 0.700 0.289 0.289
Mg5 0.711 0.300 0.711
Mg6 0.711 0.711 0.300
Au1 0.114 0.360 0.360
Au2 0.116 0.500 0.884
Au3 0.116 0.884 0.500
Au4 0.360 0.114 0.360
Au5 0.360 0.360 0.114
Au6 0.500 0.116 0.884
Au7 0.500 0.884 0.116
Au8 0.640 0.640 0.886
Au9 0.640 0.886 0.640
Au10 0.884 0.116 0.500
Au11 0.884 0.500 0.116
Au12 0.886 0.640 0.640

Space group: R-3m, No. 166
Crystal system: trigonal
Total moment: 0.0 μB/f.u.
Formation energy from the elements: -0.404 eV/atom

# 3
Below is a relaxed Sm3Mg7Au4 crystal, with properties calculated at the GGA-PBE level.

Cell lengths 8.525, 8.525, 10.454 Å; angles 122.69, 122.69, 30.61 degrees
Sites, in units of the cell vectors:
Sm1 0.000 0.000 0.000
Sm2 0.306 0.306 0.294
Sm3 0.694 0.694 0.706
Mg1 0.000 0.000 0.500
Mg2 0.165 0.165 0.429
Mg3 0.321 0.321 0.985
Mg4 0.488 0.488 0.700
Mg5 0.512 0.512 0.300
Mg6 0.679 0.679 0.015
Mg7 0.835 0.835 0.571
Au1 0.113 0.113 0.827
Au2 0.337 0.337 0.737
Au3 0.663 0.663 0.263
Au4 0.887 0.887 0.173

Space group: C2/m, No. 12
Crystal system: monoclinic
Total moment: 0.0 μB/f.u.
Formation energy from the elements: -0.521 eV/atom

# 4
Below is a relaxed SmMg9Au3 crystal, with properties calculated at the GGA-PBE level.

Cell lengths 7.537, 7.537, 7.536 Å; angles 97.90, 97.90, 136.26 degrees
Sites, in units of the cell vectors:
Sm1 0.000 0.000 0.000
Mg1 0.000 0.000 0.500
Mg2 0.003 0.650 0.663
Mg3 0.295 0.511 0.791
Mg4 0.350 0.997 0.337
Mg5 0.489 0.705 0.209
Mg6 0.511 0.295 0.791
Mg7 0.650 0.003 0.663
Mg8 0.705 0.489 0.209
Mg9 0.997 0.350 0.337
Au1 0.000 0.500 0.000
Au2 0.500 0.000 0.000
Au3 0.500 0.500 0.500

Space group: C2/m, No. 12
Crystal system: monoclinic
Total moment: 0.0 μB/f.u.
Formation energy from the elements: -0.354 eV/atom